No. 1
# Al2NiAu PBE relaxed
data_Al2NiAu
_chemical_formula_sum 'Al8 Ni4 Au4'
_symmetry_space_group_name_H-M 'F -4 3 m'
_symmetry_Int_Tables_number 216
_symmetry_space_group_name_Hall 'F -4 2 3'
_cell_length_a 6.171
_cell_length_b 6.171
_cell_length_c 6.171
_cell_angle_alpha 90.00
_cell_angle_beta 90.00
_cell_angle_gamma 90.00
loop_
_atom_site_label
_atom_site_fract_x
_atom_site_fract_y
_atom_site_fract_z
Al1 0.000 0.000 0.000
Al2 0.250 0.250 0.250
Ni1 0.000 0.000 0.500
Au1 0.250 0.250 0.750
# - energy relative to the elements (meV per atom) = -176
# - calculated volume (Å³/f.u.) = 58.8
# - crystal system = cubic
# - spin magnetization (Bohr magnetons per cell) = 0.0

No. 2
# MgTlCr2B PBE relaxed
data_MgTlCr2B
_chemical_formula_sum 'Mg1 Tl1 Cr2 B1'
_symmetry_space_group_name_H-M 'P 4/m m m'
_symmetry_Int_Tables_number 123
_symmetry_space_group_name_Hall '-P 4 2'
_cell_length_a 4.184
_cell_length_b 4.184
_cell_length_c 4.412
_cell_angle_alpha 90.00
_cell_angle_beta 90.00
_cell_angle_gamma 90.00
loop_
_atom_site_label
_atom_site_fract_x
_atom_site_fract_y
_atom_site_fract_z
Mg1 0.000 0.000 0.000
Tl1 0.500 0.500 0.000
Cr1 0.000 0.500 0.500
B1 0.000 0.000 0.500
# - energy relative to the elements (meV per atom) = 318
# - calculated volume (Å³/f.u.) = 77.2
# - crystal system = tetragonal
# - spin magnetization (Bohr magnetons per cell) = 4.7

No. 3
# Li2DyAuO4 PBE relaxed
data_Li2DyAuO4
_chemical_formula_sum 'Li8 Dy4 Au4 O16'
_symmetry_space_group_name_H-M 'C 1 2/c 1'
_symmetry_Int_Tables_number 15
_symmetry_space_group_name_Hall '-C 2yc'
_cell_length_a 8.743
_cell_length_b 8.525
_cell_length_c 6.733
_cell_angle_alpha 90.00
_cell_angle_beta 128.47
_cell_angle_gamma 90.00
loop_
_atom_site_label
_atom_site_fract_x
_atom_site_fract_y
_atom_site_fract_z
Li1 0.000 0.000 0.000
Li2 0.250 0.250 0.000
Dy1 0.250 0.250 0.500
Au1 0.000 0.500 0.000
O1 0.036 0.261 0.058
O2 0.222 0.008 0.898
# - ΔE_f (raw) (eV/atom) = -1.8336
# - calculated volume (Å³/f.u.) = 98.2
# - crystal system = monoclinic
# - spin magnetization (Bohr magnetons per cell) = 0.0

Please write out number 1 again, unchanged.
# Al2NiAu PBE relaxed
data_Al2NiAu
_chemical_formula_sum 'Al8 Ni4 Au4'
_symmetry_space_group_name_H-M 'F -4 3 m'
_symmetry_Int_Tables_number 216
_symmetry_space_group_name_Hall 'F -4 2 3'
_cell_length_a 6.171
_cell_length_b 6.171
_cell_length_c 6.171
_cell_angle_alpha 90.00
_cell_angle_beta 90.00
_cell_angle_gamma 90.00
loop_
_atom_site_label
_atom_site_fract_x
_atom_site_fract_y
_atom_site_fract_z
Al1 0.000 0.000 0.000
Al2 0.250 0.250 0.250
Ni1 0.000 0.000 0.500
Au1 0.250 0.250 0.750
# - energy relative to the elements (meV per atom) = -176
# - calculated volume (Å³/f.u.) = 58.8
# - crystal system = cubic
# - spin magnetization (Bohr magnetons per cell) = 0.0

> The highest spin magnetization belongs to which entry?

MgTlCr2B

> Which value of calculated volume does entry 1 give?

58.8 Å³/f.u.